A relaxed structure of SrMg2FeO4, computed with PBE with a Hubbard U.

Summary:
VASP energy = -47.856 eV per formula unit
SG = Cmcm

abc: 3.2402 5.6854 11.3783
angles: 90.00 90.00 106.56
Positions (direct):
O (0.0000, 0.0000, 0.5000)
O (0.2522, 0.5045, 0.3923)
O (0.7478, 0.4955, 0.8923)
O (0.4545, 0.9089, 0.7500)
O (0.5455, 0.0911, 0.2500)
O (0.2522, 0.5045, 0.1077)
O (0.7478, 0.4955, 0.6077)
O (0.0000, 0.0000, 0.0000)
Mg (0.6302, 0.2604, 0.4686)
Mg (0.3698, 0.7396, 0.5314)
Mg (0.6302, 0.2604, 0.0314)
Mg (0.3698, 0.7396, 0.9686)
Fe (0.1471, 0.2943, 0.2500)
Fe (0.8529, 0.7057, 0.7500)
Sr (0.8811, 0.7622, 0.2500)
Sr (0.1189, 0.2378, 0.7500)